First-principles (PBE) data for a geometry-optimized LaCeDyIn structure, as listed in Alexandria.

Cell: 5.505 5.505 5.505 Å, 60.00 60.00 60.00°
Site moments in Bohr magnetons follow the coordinates.
Positions (direct):
Ce  0.750  0.750  0.750  0.22
In  0.250  0.250  0.250  -0.01
Dy  0.000  0.000  0.000  -0.01
La  0.500  0.500  0.500  0.00

Results
formation enthalpy at 0 K = -8.15 kJ/mol of atoms
energy = -4.635 eV/atom
total magnetic moment = 0.2 μB/f.u.